(1)
A geometry-optimized LaPm2Ir2 structure. Source: OQMD via LeMat-Bulk, functional PBE-GGA.

Results
Total magnetization ... 0.0 μB/f.u.
Space group ... No. 11
Formation energy from the elements ... -0.659 eV/atom
Raw total energy ... -70.84 eV for the cell shown

abc: 5.8105 4.4291 10.7841
angles: 90.00 98.89 90.00
Last column: nearest neighbours and their distance in Å.
Element x y z (fractional)
Ir (0.3404, 0.2500, 0.5321)  4 Pm 2.90-3.16, 3 La 2.94-3.03, 2 Ir 3.04
Pm (0.8876, 0.2500, 0.6136)  5 Ir 2.90-3.16
Pm (0.2299, 0.2500, 0.9663)  4 Ir 2.86-3.13
Ir (0.6959, 0.2500, 0.8638)  5 Pm 2.86-3.13, 2 La 2.98
Ir (0.6595, 0.7500, 0.4679)  4 Pm 2.90-3.16, 3 La 2.94-3.03, 2 Ir 3.04
La (0.4554, 0.7500, 0.7098)  5 Ir 2.94-3.03
Ir (0.3041, 0.7500, 0.1362)  5 Pm 2.86-3.13, 2 La 2.98
Pm (0.7701, 0.7500, 0.0337)  4 Ir 2.86-3.13
Pm (0.1124, 0.7500, 0.3864)  5 Ir 2.90-3.16
La (0.5446, 0.2500, 0.2902)  5 Ir 2.94-3.03

***

(2)
A geometry-optimized Ta2Ni3Mo4N3 structure. Source: OQMD via LeMat-Bulk, functional PBE-GGA.

Results
Total magnetization ... 0.6 μB/f.u.
Space group ... No. 15
Raw total energy ... -222.81 eV for the cell shown

abc: 5.1819 5.1819 13.0552
angles: 101.60 101.60 60.22
Last column: nearest neighbours and their distance in Å.
Element x y z (fractional)
Mo (0.8183, 0.9570, 0.9161)  3 N 2.06-2.17
Ni (0.8954, 0.5849, 0.7463)  4 Mo 2.58-2.63, 4 Ni 2.59-2.61
Mo (0.1253, 0.3071, 0.9163)  3 N 2.07-2.17
N (0.3611, 0.7754, 0.4997)  4 Mo 2.08-2.17, 2 Ta 2.22-2.23
N (0.6389, 0.2246, 0.5003)  4 Mo 2.08-2.17, 2 Ta 2.22-2.23
Mo (0.8747, 0.6929, 0.0837)  3 N 2.07-2.17
N (0.0000, 0.5000, 0.5000)  4 Mo 2.06-2.07
Ni (0.5849, 0.8954, 0.2463)  4 Mo 2.58-2.63, 4 Ni 2.59-2.61
Ta (0.6241, 0.4582, 0.3716)  3 N 2.22-2.37
N (0.5000, 0.0000, 0.0000)  4 Mo 2.06-2.07
N (0.7754, 0.3611, 0.9997)  4 Mo 2.08-2.17, 2 Ta 2.22-2.23
Ni (0.9281, 0.0719, 0.7500)  4 Mo 2.55-2.59, 4 Ni 2.59-2.60
Ni (0.1046, 0.4151, 0.2537)  4 Mo 2.58-2.63, 4 Ni 2.59-2.61
N (0.2246, 0.6389, 0.0003)  4 Mo 2.08-2.17, 2 Ta 2.22-2.23
Mo (0.3071, 0.1253, 0.4163)  3 N 2.07-2.17
Mo (0.9570, 0.8183, 0.4161)  3 N 2.06-2.17
Ta (0.3759, 0.5418, 0.6284)  3 N 2.22-2.37
Ta (0.5418, 0.3759, 0.1284)  3 N 2.22-2.37
Mo (0.0430, 0.1817, 0.5839)  3 N 2.06-2.17
Ni (0.0719, 0.9281, 0.2500)  4 Mo 2.55-2.59, 4 Ni 2.59-2.60
Ni (0.4151, 0.1046, 0.7537)  4 Mo 2.58-2.63, 4 Ni 2.59-2.61
Mo (0.6929, 0.8747, 0.5837)  3 N 2.07-2.17
Mo (0.1817, 0.0430, 0.0839)  3 N 2.06-2.17
Ta (0.4582, 0.6241, 0.8716)  3 N 2.22-2.37

***

(3)
A geometry-optimized HfS structure. Source: OQMD via LeMat-Bulk, functional PBE-GGA.

Results
Total magnetization ... 0.0 μB/f.u.
Space group ... No. 187
Raw total energy ... -17.11 eV for the cell shown

abc: 3.3884 3.3884 3.4463
angles: 90.00 90.00 120.00
Last column: nearest neighbours and their distance in Å.
Element x y z (fractional)
Hf (0.6667, 0.3333, 0.7500)  6 S 2.61
S (0.3333, 0.6667, 0.2500)  6 Hf 2.61

***

(4)
A geometry-optimized Hf2InGaAg2 structure. Source: OQMD via LeMat-Bulk, functional PBE-GGA.

Results
Total magnetization ... 0.0 μB/f.u.
Space group ... No. 6
Raw total energy ... -124.92 eV for the cell shown

abc: 11.0332 4.5050 11.0357
angles: 90.00 109.52 90.00
Last column: nearest neighbours and their distance in Å.
Element x y z (fractional)
Hf (0.3720, 0.5000, 0.3723)  4 Ag 2.69-2.73
Ag (0.7453, 0.0000, 0.2431)  2 Ga 2.70-2.74, 4 Hf 2.73-2.81, 2 In 2.79
Hf (0.7443, 0.0000, 0.4944)  4 Ag 2.77-2.80
Ag (0.3745, 0.5000, 0.1293)  4 Hf 2.69-2.75, 3 Ga 2.73-2.74, 1 In 2.80
Ag (0.0018, 0.0000, 0.0065)  4 Hf 2.69-2.75, 3 Ga 2.73-2.74, 1 In 2.81
Ga (0.2492, 0.0000, 0.4986)  4 Ag 2.70-2.75
Hf (0.0022, 0.0000, 0.2505)  4 Ag 2.69-2.81
Ag (0.4927, 0.0000, 0.4941)  2 Ga 2.70-2.73, 4 Hf 2.73-2.79, 2 In 2.80
Ag (0.8749, 0.5000, 0.6257)  4 In 2.77-2.78, 4 Hf 2.80-2.83
Hf (0.5029, 0.0000, 0.7506)  4 Ag 2.76-2.79
Hf (0.1274, 0.5000, 0.6203)  4 Ag 2.74-2.81
Ag (0.2512, 0.0000, 0.7459)  1 Ga 2.72, 4 Hf 2.76-2.87, 3 In 2.77-2.78
Hf (0.2508, 0.0000, 0.0055)  4 Ag 2.75-2.87
In (0.8747, 0.5000, 0.3736)  4 Ag 2.78-2.80
Ga (0.4990, 0.0000, 0.2493)  4 Ag 2.73-2.74
Ga (0.1257, 0.5000, 0.1258)  4 Ag 2.72-2.73
In (0.6240, 0.5000, 0.6249)  4 Ag 2.77-2.80
In (0.3753, 0.5000, 0.8759)  4 Ag 2.77-2.80
Ag (0.1284, 0.5000, 0.3727)  4 Hf 2.69-2.75, 3 Ga 2.72-2.75, 1 In 2.80
Hf (0.8784, 0.5000, 0.8829)  4 Ag 2.72-2.83
In (0.0010, 0.0000, 0.7517)  4 Ag 2.77-2.81
Ga (0.7513, 0.0000, 0.0006)  4 Ag 2.70-2.74
Hf (0.6223, 0.5000, 0.1250)  4 Ag 2.73-2.75
Ag (0.6308, 0.5000, 0.8808)  2 Ga 2.72, 4 Hf 2.72-2.79, 2 In 2.80

***

(5)
A geometry-optimized TcSnW2 structure. Source: OQMD via LeMat-Bulk, functional PBE-GGA.

Results
Total magnetization ... 0.0 μB/f.u.
Space group ... No. 216
Raw total energy ... -38.97 eV for the cell shown

abc: 4.5515 4.5515 4.5515
angles: 60.00 60.00 60.00
Last column: nearest neighbours and their distance in Å.
Element x y z (fractional)
Tc (0.2500, 0.2500, 0.2500)  4 Sn 2.79, 4 W 2.79
Sn (0.5000, 0.5000, 0.5000)  4 W 2.79, 4 Tc 2.79
W (0.7500, 0.7500, 0.7500)  4 Sn 2.79, 4 W 2.79
W (0.0000, 0.0000, 0.0000)  4 W 2.79, 4 Tc 2.79

***

(6)
A geometry-optimized BaNdCu structure. Source: OQMD via LeMat-Bulk, functional PBE-GGA.

Results
Total magnetization ... 0.0 μB/f.u.
Space group ... No. 216
Raw total energy ... -8.09 eV for the cell shown

abc: 5.0747 5.0747 5.0747
angles: 60.00 60.00 60.00
Last column: nearest neighbours and their distance in Å.
Element x y z (fractional)
Cu (0.2500, 0.2500, 0.2500)  4 Ba 3.11
Nd (0.7500, 0.7500, 0.7500)  4 Ba 3.11
Ba (0.0000, 0.0000, 0.0000)  4 Nd 3.11, 4 Cu 3.11

***

(7)
A geometry-optimized Gd3Mg3Al2Ga structure. Source: OQMD via LeMat-Bulk, functional PBE-GGA.

Results
Total magnetization ... 0.0 μB/f.u.
Space group ... No. 189
Raw total energy ... -32.51 eV for the cell shown

abc: 7.4097 7.4097 4.4974
angles: 90.00 90.00 120.00
Last column: nearest neighbours and their distance in Å.
Element x y z (fractional)
Ga (0.0000, 0.0000, 0.0000)  6 Mg 2.87, 3 Gd 3.13
Mg (0.7594, 0.0000, 0.5000)  2 Ga 2.87, 2 Al 2.88, 2 Mg 3.09
Mg (0.2406, 0.2406, 0.5000)  2 Ga 2.87, 2 Al 2.88, 2 Mg 3.09
Gd (0.0000, 0.4230, 0.0000)  1 Ga 3.13, 4 Al 3.16, 2 Mg 3.36
Gd (0.4230, 0.0000, 0.0000)  1 Ga 3.13, 4 Al 3.16, 2 Mg 3.36
Mg (0.0000, 0.7594, 0.5000)  2 Ga 2.87, 2 Al 2.88, 2 Mg 3.09
Gd (0.5770, 0.5770, 0.0000)  1 Ga 3.13, 4 Al 3.16, 2 Mg 3.36
Al (0.6667, 0.3333, 0.5000)  3 Mg 2.88, 6 Gd 3.16
Al (0.3333, 0.6667, 0.5000)  3 Mg 2.88, 6 Gd 3.16

***

(8)
A geometry-optimized Cu27Ag13 structure. Source: OQMD via LeMat-Bulk, functional PBE-GGA.

Results
Space group ... No. 1
Formation energy from the elements ... 0.091 eV/atom
Raw total energy ... -133.42 eV for the cell shown

abc: 5.9999 8.5243 11.6684
angles: 73.25 84.25 73.39
Last column: nearest neighbours and their distance in Å.
Element x y z (fractional)
Ag (0.3528, 0.1432, 0.9601)  8 Cu 2.59-2.80, 4 Ag 2.74-2.79
Ag (0.4296, 0.3183, 0.7242)  7 Cu 2.65-2.88, 5 Ag 2.70-2.84
Cu (0.7283, 0.7535, 0.7572)  8 Cu 2.52-2.74, 3 Ag 2.71-2.81
Cu (0.7621, 0.4869, 0.6785)  5 Cu 2.57-2.76, 6 Ag 2.69-2.78
Cu (0.4080, 0.6066, 0.8107)  7 Cu 2.52-2.71, 4 Ag 2.64-2.80
Cu (0.5532, 0.9533, 0.3416)  6 Cu 2.48-2.70, 3 Ag 2.67-2.72
Cu (0.9586, 0.5483, 0.1442)  11 Cu 2.52-2.73, 1 Ag 2.64
Cu (0.3235, 0.4321, 0.0349)  9 Cu 2.49-2.75, 2 Ag 2.66-2.68
Cu (0.2510, 0.2459, 0.2426)  11 Cu 2.49-2.71, 1 Ag 2.64
Ag (0.8451, 0.6356, 0.4479)  8 Cu 2.63-2.78, 4 Ag 2.72-2.85
Cu (0.2143, 0.5248, 0.3109)  8 Cu 2.53-2.78, 4 Ag 2.63-2.81
Cu (0.9012, 0.3631, 0.3603)  7 Cu 2.51-2.73, 4 Ag 2.72-2.74
Ag (0.1262, 0.6220, 0.6280)  6 Cu 2.68-2.82, 6 Ag 2.70-2.79
Cu (0.9737, 0.2779, 0.0866)  8 Cu 2.49-2.76, 3 Ag 2.70-2.74
Cu (0.9245, 0.8240, 0.2221)  4 Ag 2.61-2.74, 8 Cu 2.63-2.71
Cu (0.6253, 0.1210, 0.1361)  8 Cu 2.48-2.75, 3 Ag 2.68-2.74
Cu (0.0710, 0.1813, 0.7740)  7 Ag 2.64-2.80, 5 Cu 2.67-2.81
Cu (0.6051, 0.3956, 0.1892)  10 Cu 2.49-2.74, 2 Ag 2.63
Cu (0.7188, 0.0119, 0.8270)  6 Cu 2.54-2.81, 4 Ag 2.64-2.72
Cu (0.2758, 0.9763, 0.1769)  8 Cu 2.59-2.76, 4 Ag 2.59-2.74
Cu (0.4911, 0.5016, 0.4960)  4 Cu 2.62-2.78, 7 Ag 2.63-2.74
Ag (0.8133, 0.2142, 0.5930)  7 Cu 2.58-2.88, 4 Ag 2.71-2.81
Ag (0.5786, 0.6635, 0.2641)  10 Cu 2.60-2.83, 2 Ag 2.72-2.75
Ag (0.6965, 0.3082, 0.9082)  8 Cu 2.64-2.91, 4 Ag 2.71-2.77
Cu (0.1899, 0.0759, 0.4691)  7 Cu 2.61-2.73, 5 Ag 2.65-2.85
Cu (0.1621, 0.3450, 0.5445)  5 Ag 2.58-2.75, 7 Cu 2.62-2.89
Cu (0.4763, 0.7736, 0.5800)  7 Cu 2.57-2.83, 5 Ag 2.64-2.74
Ag (0.5202, 0.2379, 0.4114)  10 Cu 2.62-2.89, 2 Ag 2.74-2.81
Ag (0.8114, 0.9293, 0.5236)  6 Cu 2.64-2.83, 6 Ag 2.74-2.84
Cu (0.3834, 0.8696, 0.8808)  9 Cu 2.53-2.80, 3 Ag 2.64-2.73
Cu (0.2941, 0.6981, 0.0969)  10 Cu 2.53-2.76, 2 Ag 2.62-2.66
Ag (0.2070, 0.8037, 0.3949)  8 Cu 2.60-2.81, 4 Ag 2.75-2.85
Ag (0.9926, 0.9953, 0.0027)  10 Cu 2.61-2.82, 2 Ag 2.73-2.74
Cu (0.6656, 0.5860, 0.9837)  10 Cu 2.51-2.76, 2 Ag 2.70-2.71
Cu (0.0202, 0.7244, 0.9329)  9 Cu 2.54-2.74, 3 Ag 2.58-2.68
Cu (0.4426, 0.0465, 0.6534)  5 Ag 2.62-2.90, 7 Cu 2.62-2.69
Cu (0.6498, 0.8449, 0.0494)  9 Cu 2.51-2.78, 3 Ag 2.60-2.66
Ag (0.0474, 0.4600, 0.8607)  8 Cu 2.58-2.80, 4 Ag 2.71-2.84
Ag (0.1037, 0.8992, 0.7099)  9 Cu 2.62-2.85, 3 Ag 2.76-2.84
Cu (0.9063, 0.1016, 0.2917)  9 Cu 2.50-2.73, 3 Ag 2.68-2.77

***

(9)
A geometry-optimized MgAsAuO structure. Source: OQMD via LeMat-Bulk, functional PBE-GGA.

Results
Space group ... No. 26
Raw total energy ... -34.95 eV for the cell shown

abc: 3.2501 7.4324 5.6031
angles: 90.00 90.00 90.00
Last column: nearest neighbours and their distance in Å.
Element x y z (fractional)
Mg (0.0000, 0.1566, 0.8508)  2 O 1.92
O (0.5000, 0.0853, 0.0063)  2 Mg 1.92
Au (0.5000, 0.7893, 0.9335)  1 O 2.24
O (0.5000, 0.9147, 0.5063)  2 Mg 1.92
As (0.0000, 0.4711, 0.4633)  2 Au 2.53, 2 As 2.83
Au (0.5000, 0.2107, 0.4335)  1 O 2.24
As (0.0000, 0.5289, 0.9633)  2 Au 2.53, 2 As 2.83
Mg (0.0000, 0.8434, 0.3508)  2 O 1.92

***

(10)
A geometry-optimized LuNiHgGe structure. Source: OQMD via LeMat-Bulk, functional PBE-GGA.

Results
Total magnetization ... 0.0 μB/f.u.
Space group ... No. 216
Raw total energy ... -15.86 eV for the cell shown

abc: 4.7221 4.7221 4.7221
angles: 60.00 60.00 60.00
Last column: nearest neighbours and their distance in Å.
Element x y z (fractional)
Ni (0.7500, 0.7500, 0.7500)  4 Hg 2.89, 4 Ge 2.89
Hg (0.5000, 0.5000, 0.5000)  4 Lu 2.89, 4 Ni 2.89
Ge (0.0000, 0.0000, 0.0000)  4 Lu 2.89, 4 Ni 2.89
Lu (0.2500, 0.2500, 0.2500)  4 Hg 2.89, 4 Ge 2.89

***

(11)
A geometry-optimized Dy2YMg3CuHg2 structure. Source: OQMD via LeMat-Bulk, functional PBE-GGA.

Results
Total magnetization ... 0.0 μB/f.u.
Space group ... No. 38
Raw total energy ... -27.74 eV for the cell shown

abc: 4.1481 7.6892 7.6892
angles: 120.01 90.00 90.00
Last column: nearest neighbours and their distance in Å.
Element x y z (fractional)
Cu (0.0000, 0.0010, 0.0010)  6 Mg 2.76
Mg (0.5000, 0.2374, 0.2374)  2 Cu 2.76, 2 Hg 3.00
Mg (0.5000, 0.9998, 0.7627)  2 Cu 2.76, 2 Hg 3.00
Y (0.0000, 0.5976, 0.5976)  1 Cu 3.10, 4 Hg 3.13, 6 Mg 3.40-3.46
Dy (0.0000, 0.9999, 0.4022)  1 Cu 3.09, 4 Hg 3.13, 4 Mg 3.40
Hg (0.5000, 0.3325, 0.6668)  3 Mg 3.00, 4 Dy 3.13, 2 Y 3.13
Dy (0.0000, 0.4022, 0.9999)  1 Cu 3.09, 4 Hg 3.13, 4 Mg 3.40
Hg (0.5000, 0.6668, 0.3325)  3 Mg 3.00, 4 Dy 3.13, 2 Y 3.13
Mg (0.5000, 0.7627, 0.9998)  2 Cu 2.76, 2 Hg 3.00

***

> Among the records above, which one has the highest raw total energy?

BaNdCu

***

> Which value of raw total energy does entry 5 give?

-38.97 eV for the cell shown

***

> What is the raw total energy in the fifth record?

-38.97 eV for the cell shown

***

> Among the records above, which one has the lowest raw total energy?

Ta2Ni3Mo4N3